(1)
GeHAu2: relaxed, PBE-GGA.

ΔE to the lowest computed polymorph, meV per atom: 336
Mass density, Mg/m³: 12.57
Symmetry: Fm-3m (225)

a b c (Å): 4.437 4.437 4.437
angles (deg): 60.00 60.00 60.00
Site moments in Bohr magnetons follow the coordinates.
Fractional positions:
H1 0.000 0.000 0.000  0.15
Ge1 0.500 0.500 0.500  -0.01
Au1 0.250 0.250 0.250  0.03
Au2 0.750 0.750 0.750  0.03

(2)
Ge3HAu: relaxed, PBE-GGA.

ΔE to the lowest computed polymorph, meV per atom: 730
Mass density, Mg/m³: 5.29
Symmetry: Pm-3m (221)

a b c (Å): 5.072 5.072 5.072
angles (deg): 90.00 90.00 90.00
Fractional positions:
H1 0.500 0.500 0.500
Ge1 0.000 0.500 0.000
Ge2 0.000 0.000 0.500
Ge3 0.500 0.000 0.000
Au1 0.000 0.000 0.000

(3)
Ge2HAu: relaxed, PBE-GGA.

ΔE to the lowest computed polymorph, meV per atom: 0
Mass density, Mg/m³: 6.75
Symmetry: R-3m (166)

a b c (Å): 4.227 4.227 5.981
angles (deg): 69.30 69.30 60.00
Fractional positions:
H1 0.000 0.000 0.000
Ge1 0.109 0.109 0.673
Ge2 0.891 0.891 0.327
Au1 0.500 0.500 0.500